[1]
First-principles (GGA-PBE) data for an optimized crystal structure of TaFe2MoN, as listed in Alexandria.

abc: 3.834 3.834 4.106
angles: 90.00 90.00 90.00
Space group P4/mmm (No. 123)
Asymmetric unit:
Ta1 0.000 0.000 0.000 (multiplicity 1)
Fe1 0.000 0.500 0.500 (multiplicity 2)
Mo1 0.500 0.500 0.000 (multiplicity 1)
N1 0.500 0.500 0.500 (multiplicity 1)

Computed properties:
ρ, g/cm3: 11.08
Formation energy from raw total energies, meV per atom: -142
Crystal system: tetragonal

***

[2]
First-principles (GGA-PBE) data for an optimized crystal structure of ScTiTcIr, as listed in Alexandria.

abc: 6.318 6.318 6.318
angles: 90.00 90.00 90.00
Space group F-43m (No. 216)
Asymmetric unit:
Sc1 0.000 0.000 0.000 (multiplicity 4)
Ti1 0.000 0.000 0.500 (multiplicity 4)
Tc1 0.250 0.250 0.750 (multiplicity 4)
Ir1 0.250 0.250 0.250 (multiplicity 4)

Computed properties:
ρ, g/cm3: 10.09
Crystal system: cubic
Energy relative to the elements, eV/atom: -0.70

***

[3]
First-principles (GGA-PBE) data for an optimized crystal structure of TaCr2Br, as listed in Alexandria.

abc: 3.209 3.209 6.874
angles: 90.00 90.00 90.00
Space group P4/mmm (No. 123)
Asymmetric unit:
Ta1 0.000 0.000 0.000 (multiplicity 1)
Cr1 0.500 0.500 0.212 (multiplicity 2)
Br1 0.000 0.000 0.500 (multiplicity 1)

Computed properties:
Energy above the lowest structure with this stoichiometry, kJ/mol of atoms: 14.9
ρ, g/cm3: 8.56
Formation energy from raw total energies, meV per atom: 463
Crystal system: tetragonal

***

Number 1: total magnetic moment 0.5 μB per formula unit. Number 2: total magnetic moment 0.0 μB per formula unit. Number 3: total magnetic moment 4.9 μB per formula unit.